Arrangement a

# SrCoAs2Br

A relaxed SrCoAs2Br crystal (PBE, Alexandria via LeMat-Bulk).

a b c (Å): 4.4618 4.4618 6.5161
angles (deg): 90.00 90.00 90.00
Last column: nearest neighbours and their distance in Å.
Positions (direct):
Sr: 0.5000 0.5000 0.5000  4 Br 3.15
As: 0.0000 0.5000 0.0000  2 Co 2.23
As: 0.5000 0.0000 0.0000  2 Co 2.23
Co: 0.0000 0.0000 0.0000  4 As 2.23
Br: 0.0000 0.0000 0.5000  4 Sr 3.15, 2 Co 3.26

space group = P4/mmm (123)


Arrangement b

# SrCoAs2Br

A relaxed SrCoAs2Br crystal (PBE, Alexandria via LeMat-Bulk).

a b c (Å): 5.9484 5.9484 5.6815
angles (deg): 90.00 90.00 90.00
Last column: nearest neighbours and their distance in Å.
Positions (direct):
Sr: 0.0000 0.0000 0.0000  2 Br 2.84, 4 As 2.97
As: 0.0000 0.5000 0.0000  2 Sr 2.97
As: 0.5000 0.0000 0.0000  2 Sr 2.97
Co: 0.5000 0.5000 0.5000  8 As 4.11, 4 Br 4.21
Br: 0.0000 0.0000 0.5000  2 Sr 2.84

space group = P4/mmm (123)


Which structure wins on stability? arrangement a wins.


Arrangement a

# TlCoAsBr2

A relaxed TlCoAsBr2 crystal (PBE, Alexandria via LeMat-Bulk).

a b c (Å): 5.3768 5.3768 4.3993
angles (deg): 90.00 90.00 90.00
Last column: nearest neighbours and their distance in Å.
Positions (direct):
Tl: 0.5000 0.5000 0.5000  8 Br 3.47, 4 As 3.80
Co: 0.0000 0.0000 0.0000  2 As 2.20
As: 0.0000 0.0000 0.5000  2 Co 2.20
Br: 0.0000 0.5000 0.0000  2 Co 2.69
Br: 0.5000 0.0000 0.0000  2 Co 2.69

space group = P4/mmm (123)


Arrangement b

# TlCoAsBr2

A relaxed TlCoAsBr2 crystal (PBE, Alexandria via LeMat-Bulk).

a b c (Å): 5.6950 5.6950 5.4536
angles (deg): 90.00 90.00 90.00
Last column: nearest neighbours and their distance in Å.
Positions (direct):
Tl: 0.0000 0.0000 0.0000  2 As 2.73, 4 Br 2.85
Co: 0.5000 0.5000 0.5000  8 Br 3.94, 4 As 4.03
As: 0.0000 0.0000 0.5000  2 Tl 2.73
Br: 0.0000 0.5000 0.0000  2 Tl 2.85
Br: 0.5000 0.0000 0.0000  2 Tl 2.85

space group = P4/mmm (123)


Which structure wins on stability? arrangement a wins.